Record 1
# Ac3Ag3Pb4

An optimized crystal structure of Ac3Ag3Pb4 (PBE, the Alexandria database).

Total DFT energy (no corrections) ... -3.94 eV/atom
Size of the total moment ... 0.00 Bohr magnetons per cell

CIF file:
```
data_Ac3Ag3Pb4
_chemical_formula_sum 'Ac12 Ag12 Pb16'
_symmetry_space_group_name_H-M 'I -4 3 d'
_symmetry_Int_Tables_number 220
_symmetry_space_group_name_Hall 'I -4bd 2c 3'
_cell_length_a 10.680
_cell_length_b 10.680
_cell_length_c 10.680
_cell_angle_alpha 90.00
_cell_angle_beta 90.00
_cell_angle_gamma 90.00
loop_
_atom_site_label
_atom_site_fract_x
_atom_site_fract_y
_atom_site_fract_z
Ac1 0.000 0.250 0.875
Ag1 0.000 0.250 0.375
Pb1 0.084 0.416 0.584
```

Record 2
# Zr4AuSe

An optimized crystal structure of Zr4AuSe (PBE, the Alexandria database).

Formation energy from raw total energies ... 20.7 kJ/mol of atoms
Total DFT energy (no corrections) ... -6.61 eV/atom
Size of the total moment ... 0.00 Bohr magnetons per cell

CIF file:
```
data_Zr4AuSe
_chemical_formula_sum 'Zr16 Au4 Se4'
_symmetry_space_group_name_H-M 'F -4 3 m'
_symmetry_Int_Tables_number 216
_symmetry_space_group_name_Hall 'F -4 2 3'
_cell_length_a 8.068
_cell_length_b 8.068
_cell_length_c 8.068
_cell_angle_alpha 90.00
_cell_angle_beta 90.00
_cell_angle_gamma 90.00
loop_
_atom_site_label
_atom_site_fract_x
_atom_site_fract_y
_atom_site_fract_z
Zr1 0.124 0.124 0.124
Au1 0.250 0.250 0.750
Se1 0.000 0.000 0.500
```

Record 3
# Na2Pu2US6

An optimized crystal structure of Na2Pu2US6 (PBE, the Alexandria database).

Formation energy from raw total energies ... -145.7 kJ/mol of atoms
Total DFT energy (no corrections) ... -7.63 eV/atom
Size of the total moment ... 24.00 Bohr magnetons per cell

CIF file:
```
data_Na2Pu2US6
_chemical_formula_sum 'Na4 Pu4 U2 S12'
_symmetry_space_group_name_H-M 'C 1 2/m 1'
_symmetry_Int_Tables_number 12
_symmetry_space_group_name_Hall '-C 2y'
_cell_length_a 6.995
_cell_length_b 12.039
_cell_length_c 7.048
_cell_angle_alpha 90.00
_cell_angle_beta 109.20
_cell_angle_gamma 90.00
loop_
_atom_site_label
_atom_site_fract_x
_atom_site_fract_y
_atom_site_fract_z
Na1 0.000 0.169 0.000
Pu1 0.000 0.335 0.500
U1 0.000 0.000 0.500
S1 0.233 0.164 0.718
S2 0.247 0.000 0.281
```

Record 4
# Th8SnGe3Te4

An optimized crystal structure of Th8SnGe3Te4 (PBE, the Alexandria database).

Formation energy from raw total energies ... -91.5 kJ/mol of atoms
Total DFT energy (no corrections) ... -6.56 eV/atom
Size of the total moment ... 0.00 Bohr magnetons per cell

CIF file:
```
data_Th8SnGe3Te4
_chemical_formula_sum 'Th24 Sn3 Ge9 Te12'
_symmetry_space_group_name_H-M 'R -3 m'
_symmetry_Int_Tables_number 166
_symmetry_space_group_name_Hall '-R 3 2"'
_cell_length_a 8.8293
_cell_length_b 8.8293
_cell_length_c 21.8949
_cell_angle_alpha 90.00
_cell_angle_beta 90.00
_cell_angle_gamma 120.00
loop_
_atom_site_label
_atom_site_fract_x
_atom_site_fract_y
_atom_site_fract_z
Th1 0.0000 0.0000 0.2384
Th2 0.0140 0.5070 0.7590
Sn1 0.0000 0.0000 0.5000
Ge1 0.0000 0.5000 0.5000
Te1 0.0000 0.0000 0.0000
Te2 0.0000 0.5000 0.0000
```

Record 5
# DySc2Fe

An optimized crystal structure of DySc2Fe (PBE, the Alexandria database).

Total DFT energy (no corrections) ... -6.29 eV/atom
Size of the total moment ... 2.92 Bohr magnetons per cell

CIF file:
```
data_DySc2Fe
_chemical_formula_sum 'Dy3 Sc6 Fe3'
_symmetry_space_group_name_H-M 'R -3 m'
_symmetry_Int_Tables_number 166
_symmetry_space_group_name_Hall '-R 3 2"'
_cell_length_a 3.3210
_cell_length_b 3.3210
_cell_length_c 28.2241
_cell_angle_alpha 90.00
_cell_angle_beta 90.00
_cell_angle_gamma 120.00
loop_
_atom_site_label
_atom_site_fract_x
_atom_site_fract_y
_atom_site_fract_z
Dy1 0.0000 0.0000 0.0000
Sc1 0.0000 0.0000 0.2289
Fe1 0.0000 0.0000 0.5000
```

Record 6
# TbPuRh

An optimized crystal structure of TbPuRh (PBE, the Alexandria database).

Total DFT energy (no corrections) ... -9.09 eV/atom
Size of the total moment ... 23.23 Bohr magnetons per cell

CIF file:
```
data_TbPuRh
_chemical_formula_sum 'Tb4 Pu4 Rh4'
_symmetry_space_group_name_H-M 'F -4 3 m'
_symmetry_Int_Tables_number 216
_symmetry_space_group_name_Hall 'F -4 2 3'
_cell_length_a 6.797
_cell_length_b 6.797
_cell_length_c 6.797
_cell_angle_alpha 90.00
_cell_angle_beta 90.00
_cell_angle_gamma 90.00
loop_
_atom_site_label
_atom_site_fract_x
_atom_site_fract_y
_atom_site_fract_z
Tb1 0.000 0.000 0.000
Pu1 0.000 0.000 0.500
Rh1 0.250 0.250 0.750
```

Record 7
# MgRe2Te

An optimized crystal structure of MgRe2Te (PBE, the Alexandria database).

Formation energy from raw total energies ... 74.7 kJ/mol of atoms
Total DFT energy (no corrections) ... -6.63 eV/atom
Size of the total moment ... 0.00 Bohr magnetons per cell

CIF file:
```
data_MgRe2Te
_chemical_formula_sum 'Mg1 Re2 Te1'
_symmetry_space_group_name_H-M 'P m m m'
_symmetry_Int_Tables_number 47
_symmetry_space_group_name_Hall '-P 2 2'
_cell_length_a 3.032
_cell_length_b 4.225
_cell_length_c 5.649
_cell_angle_alpha 90.00
_cell_angle_beta 90.00
_cell_angle_gamma 90.00
loop_
_atom_site_label
_atom_site_fract_x
_atom_site_fract_y
_atom_site_fract_z
Mg1 0.000 0.000 0.000
Re1 0.500 0.500 0.212
Te1 0.000 0.000 0.500
```

Record 8
# ZrTcAs

An optimized crystal structure of ZrTcAs (PBE, the Alexandria database).

Total DFT energy (no corrections) ... -8.65 eV/atom
Size of the total moment ... 0.00 Bohr magnetons per cell

CIF file:
```
data_ZrTcAs
_chemical_formula_sum 'Zr12 Tc12 As12'
_symmetry_space_group_name_H-M 'I m a 2'
_symmetry_Int_Tables_number 46
_symmetry_space_group_name_Hall 'I 2 -2a'
_cell_length_a 7.431
_cell_length_b 11.887
_cell_length_c 6.889
_cell_angle_alpha 90.00
_cell_angle_beta 90.00
_cell_angle_gamma 90.00
loop_
_atom_site_label
_atom_site_fract_x
_atom_site_fract_y
_atom_site_fract_z
Zr1 0.250 0.002 0.000
Zr2 0.250 0.213 0.627
Zr3 0.250 0.697 0.115
Tc1 0.000 0.000 0.658
Tc2 0.026 0.624 0.790
As1 0.003 0.667 0.414
As2 0.250 0.021 0.405
```

Record 9
# AlInBr2

An optimized crystal structure of AlInBr2 (PBE, the Alexandria database).

Formation energy from raw total energies ... -36.6 kJ/mol of atoms
Total DFT energy (no corrections) ... -2.84 eV/atom
Size of the total moment ... 0.00 Bohr magnetons per cell

CIF file:
```
data_AlInBr2
_chemical_formula_sum 'Al2 In2 Br4'
_symmetry_space_group_name_H-M 'I m m 2'
_symmetry_Int_Tables_number 44
_symmetry_space_group_name_Hall 'I 2 -2'
_cell_length_a 3.676
_cell_length_b 5.192
_cell_length_c 13.494
_cell_angle_alpha 90.00
_cell_angle_beta 90.00
_cell_angle_gamma 90.00
loop_
_atom_site_label
_atom_site_fract_x
_atom_site_fract_y
_atom_site_fract_z
Al1 0.000 0.000 0.000
In1 0.000 0.500 0.312
Br1 0.000 0.000 0.445
Br2 0.000 0.500 0.641
```

Record 10
# Ho2GaTcC

An optimized crystal structure of Ho2GaTcC (PBE, the Alexandria database).

Total DFT energy (no corrections) ... -6.77 eV/atom
Size of the total moment ... 0.00 Bohr magnetons per cell

CIF file:
```
data_Ho2GaTcC
_chemical_formula_sum 'Ho2 Ga1 Tc1 C1'
_symmetry_space_group_name_H-M 'P 4/m m m'
_symmetry_Int_Tables_number 123
_symmetry_space_group_name_Hall '-P 4 2'
_cell_length_a 4.882
_cell_length_b 4.882
_cell_length_c 3.981
_cell_angle_alpha 90.00
_cell_angle_beta 90.00
_cell_angle_gamma 90.00
loop_
_atom_site_label
_atom_site_fract_x
_atom_site_fract_y
_atom_site_fract_z
Ho1 0.000 0.500 0.000
Ga1 0.000 0.000 0.500
Tc1 0.500 0.500 0.500
C1 0.500 0.500 0.000
```

Record 11
# LiScSb2I

An optimized crystal structure of LiScSb2I (PBE, the Alexandria database).

Formation energy from raw total energies ... -17.3 kJ/mol of atoms
Total DFT energy (no corrections) ... -3.79 eV/atom
Size of the total moment ... 0.00 Bohr magnetons per cell

CIF file:
```
data_LiScSb2I
_chemical_formula_sum 'Li1 Sc1 Sb2 I1'
_symmetry_space_group_name_H-M 'P 4/m m m'
_symmetry_Int_Tables_number 123
_symmetry_space_group_name_Hall '-P 4 2'
_cell_length_a 5.518
_cell_length_b 5.518
_cell_length_c 5.937
_cell_angle_alpha 90.00
_cell_angle_beta 90.00
_cell_angle_gamma 90.00
loop_
_atom_site_label
_atom_site_fract_x
_atom_site_fract_y
_atom_site_fract_z
Li1 0.000 0.000 0.000
Sc1 0.500 0.500 0.500
Sb1 0.000 0.500 0.500
I1 0.500 0.500 0.000
```

Record 12
# AcFe4Sb12

An optimized crystal structure of AcFe4Sb12 (PBE, the Alexandria database).

Formation energy from raw total energies ... -21.1 kJ/mol of atoms
Total DFT energy (no corrections) ... -5.36 eV/atom
Size of the total moment ... 2.24 Bohr magnetons per cell

CIF file:
```
data_AcFe4Sb12
_chemical_formula_sum 'Ac2 Fe8 Sb24'
_symmetry_space_group_name_H-M 'I m -3'
_symmetry_Int_Tables_number 204
_symmetry_space_group_name_Hall '-I 2 2 3'
_cell_length_a 9.213
_cell_length_b 9.213
_cell_length_c 9.213
_cell_angle_alpha 90.00
_cell_angle_beta 90.00
_cell_angle_gamma 90.00
loop_
_atom_site_label
_atom_site_fract_x
_atom_site_fract_y
_atom_site_fract_z
Ac1 0.000 0.000 0.000
Fe1 0.250 0.250 0.250
Sb1 0.000 0.164 0.337
```

What did the eleventh record say?
# LiScSb2I

An optimized crystal structure of LiScSb2I (PBE, the Alexandria database).

Formation energy from raw total energies ... -17.3 kJ/mol of atoms
Total DFT energy (no corrections) ... -3.79 eV/atom
Size of the total moment ... 0.00 Bohr magnetons per cell

CIF file:
```
data_LiScSb2I
_chemical_formula_sum 'Li1 Sc1 Sb2 I1'
_symmetry_space_group_name_H-M 'P 4/m m m'
_symmetry_Int_Tables_number 123
_symmetry_space_group_name_Hall '-P 4 2'
_cell_length_a 5.518
_cell_length_b 5.518
_cell_length_c 5.937
_cell_angle_alpha 90.00
_cell_angle_beta 90.00
_cell_angle_gamma 90.00
loop_
_atom_site_label
_atom_site_fract_x
_atom_site_fract_y
_atom_site_fract_z
Li1 0.000 0.000 0.000
Sc1 0.500 0.500 0.500
Sb1 0.000 0.500 0.500
I1 0.500 0.500 0.000
```